1.
The following is a GGA-PBEsol calculation of Ba2MgReO6 after structural relaxation, from the Alexandria database.

Lattice parameters (Å, degrees): 5.7105 5.7105 5.7105 60.00 60.00 60.00
Fractional positions:
Ba 0.2500 0.2500 0.2500
Ba 0.7500 0.7500 0.7500
Mg 0.0000 0.0000 0.0000
Re 0.5000 0.5000 0.5000
O 0.2605 0.2605 0.7395
O 0.2605 0.7395 0.2605
O 0.2605 0.7395 0.7395
O 0.7395 0.2605 0.2605
O 0.7395 0.2605 0.7395
O 0.7395 0.7395 0.2605

Summary:
As for the density of states at the Fermi level: 4.07 states/eV per cell. The total magnetization comes out at 0.7 Bohr magnetons per cell. Its volume is 13.17 Å³/atom. For the raw formation energy, the calculation gives -2.471 eV/atom. As for the space group: Fm-3m (225).



2.
The following is a GGA-PBEsol calculation of Ba3MgRu2O9 after structural relaxation, from the Alexandria database.

Lattice parameters (Å, degrees): 5.7556 5.7556 13.8997 90.00 90.00 120.00
Fractional positions:
Ba 0.0000 0.0000 0.2500
Ba 0.0000 0.0000 0.7500
Ba 0.3333 0.6667 0.0887
Ba 0.3333 0.6667 0.4113
Ba 0.6667 0.3333 0.5887
Ba 0.6667 0.3333 0.9113
Mg 0.0000 0.0000 0.0000
Mg 0.0000 0.0000 0.5000
Ru 0.3333 0.6667 0.6611
Ru 0.3333 0.6667 0.8389
Ru 0.6667 0.3333 0.1611
Ru 0.6667 0.3333 0.3389
O 0.0148 0.5074 0.7500
O 0.1732 0.3465 0.5853
O 0.1732 0.3465 0.9147
O 0.1732 0.8268 0.5853
O 0.1732 0.8268 0.9147
O 0.3465 0.1732 0.0853
O 0.3465 0.1732 0.4147
O 0.4926 0.5074 0.7500
O 0.4926 0.9852 0.7500
O 0.5074 0.0148 0.2500
O 0.5074 0.4926 0.2500
O 0.6535 0.8268 0.5853
O 0.6535 0.8268 0.9147
O 0.8268 0.1732 0.0853
O 0.8268 0.1732 0.4147
O 0.8268 0.6535 0.0853
O 0.8268 0.6535 0.4147
O 0.9852 0.4926 0.2500

Summary:
As for the density of states at the Fermi level: 5.57 states/eV per cell. The total magnetization comes out at 7.7 Bohr magnetons per cell. Its volume is 13.29 Å³/atom. For the raw formation energy, the calculation gives -2.083 eV/atom. As for the space group: P6_3/mmc (194).



What did the second record say?
The following is a GGA-PBEsol calculation of Ba3MgRu2O9 after structural relaxation, from the Alexandria database.

Lattice parameters (Å, degrees): 5.7556 5.7556 13.8997 90.00 90.00 120.00
Fractional positions:
Ba 0.0000 0.0000 0.2500
Ba 0.0000 0.0000 0.7500
Ba 0.3333 0.6667 0.0887
Ba 0.3333 0.6667 0.4113
Ba 0.6667 0.3333 0.5887
Ba 0.6667 0.3333 0.9113
Mg 0.0000 0.0000 0.0000
Mg 0.0000 0.0000 0.5000
Ru 0.3333 0.6667 0.6611
Ru 0.3333 0.6667 0.8389
Ru 0.6667 0.3333 0.1611
Ru 0.6667 0.3333 0.3389
O 0.0148 0.5074 0.7500
O 0.1732 0.3465 0.5853
O 0.1732 0.3465 0.9147
O 0.1732 0.8268 0.5853
O 0.1732 0.8268 0.9147
O 0.3465 0.1732 0.0853
O 0.3465 0.1732 0.4147
O 0.4926 0.5074 0.7500
O 0.4926 0.9852 0.7500
O 0.5074 0.0148 0.2500
O 0.5074 0.4926 0.2500
O 0.6535 0.8268 0.5853
O 0.6535 0.8268 0.9147
O 0.8268 0.1732 0.0853
O 0.8268 0.1732 0.4147
O 0.8268 0.6535 0.0853
O 0.8268 0.6535 0.4147
O 0.9852 0.4926 0.2500

Summary:
As for the density of states at the Fermi level: 5.57 states/eV per cell. The total magnetization comes out at 7.7 Bohr magnetons per cell. Its volume is 13.29 Å³/atom. For the raw formation energy, the calculation gives -2.083 eV/atom. As for the space group: P6_3/mmc (194).